The following is a PBE calculation of an optimized crystal structure of Bi2HPdO, from Alexandria.

Computed properties:
- excess energy over the best structure of this formula in the dataset (meV/atom) = 0
- space group = P4/mmm

abc: 5.176 5.176 3.133
angles: 90.00 90.00 90.00
Fractional coordinates of all 5 atoms:
Bi1 0.000 0.500 0.000
Bi2 0.500 0.000 0.000
H1 0.000 0.000 0.500
Pd1 0.500 0.500 0.500
O1 0.000 0.000 0.000

=====

The following is a PBE calculation of an optimized crystal structure of TiCrW2, from Alexandria.

Computed properties:
- excess energy over the best structure of this formula in the dataset (meV/atom) = 25
- space group = Fm-3m

abc: 4.375 4.375 4.375
angles: 60.00 60.00 60.00
Fractional coordinates of all 4 atoms:
Ti1 0.000 0.000 0.000
Cr1 0.500 0.500 0.500
W1 0.250 0.250 0.250
W2 0.750 0.750 0.750

=====

The following is a PBE calculation of an optimized crystal structure of AcSm2Au6, from Alexandria.

Computed properties:
- total DFT energy (no corrections) (eV/atom) = -4.43
- space group = Immm

abc: 8.560 8.560 8.560
angles: 153.64 126.03 61.04
Fractional coordinates of all 9 atoms:
Ac1 0.000 0.000 0.000
Sm1 0.359 0.859 0.500
Sm2 0.641 0.141 0.500
Au1 0.013 0.322 0.692
Au2 0.321 0.500 0.821
Au3 0.370 0.678 0.692
Au4 0.630 0.322 0.308
Au5 0.679 0.500 0.179
Au6 0.987 0.678 0.308

=====

The following is a PBE calculation of an optimized crystal structure of TbNd3Tm4, from Alexandria.

Computed properties:
- excess energy over the best structure of this formula in the dataset (meV/atom) = 118
- space group = Immm

abc: 8.893 8.893 8.893
angles: 157.55 98.29 86.08
Fractional coordinates of all 8 atoms:
Tb1 0.000 0.000 0.000
Nd1 0.244 0.744 0.500
Nd2 0.500 0.500 0.000
Nd3 0.756 0.256 0.500
Tm1 0.110 0.865 0.245
Tm2 0.381 0.135 0.245
Tm3 0.619 0.865 0.755
Tm4 0.890 0.135 0.755

=====

The following is a PBE calculation of an optimized crystal structure of LiTb3Co8, from Alexandria.

Computed properties:
- total DFT energy (no corrections) (eV/atom) = -6.18
- space group = R3m

abc: 8.674 8.674 8.674
angles: 33.61 33.61 33.61
Fractional coordinates of all 12 atoms:
Li1 0.000 0.000 0.000
Tb1 0.367 0.367 0.367
Tb2 0.496 0.496 0.496
Tb3 0.879 0.879 0.879
Co1 0.185 0.185 0.185
Co2 0.432 0.934 0.934
Co3 0.436 0.436 0.936
Co4 0.436 0.936 0.436
Co5 0.684 0.684 0.684
Co6 0.934 0.432 0.934
Co7 0.934 0.934 0.432
Co8 0.936 0.436 0.436

=====

The following is a PBE calculation of an optimized crystal structure of KFe2Ir, from Alexandria.

Computed properties:
- excess energy over the best structure of this formula in the dataset (meV/atom) = 152
- space group = P4/mmm

abc: 2.797 2.797 9.334
angles: 90.00 90.00 90.00
Fractional coordinates of all 4 atoms:
K1 0.000 0.000 0.000
Fe1 0.500 0.500 0.317
Fe2 0.500 0.500 0.683
Ir1 0.000 0.000 0.500

=====

The following is a PBE calculation of an optimized crystal structure of Mo2Ru2I, from Alexandria.

Computed properties:
- excess energy over the best structure of this formula in the dataset (meV/atom) = 0
- space group = P4/mbm
- energy relative to the elements, uncorrected (kcal/mol of atoms) = 13.3

abc: 7.699 7.699 2.948
angles: 90.00 90.00 90.00
Fractional coordinates of all 10 atoms:
Mo1 0.151 0.349 0.000
Mo2 0.349 0.849 0.000
Mo3 0.651 0.151 0.000
Mo4 0.849 0.651 0.000
Ru1 0.132 0.632 0.500
Ru2 0.368 0.132 0.500
Ru3 0.632 0.868 0.500
Ru4 0.868 0.368 0.500
I1 0.000 0.000 0.000
I2 0.500 0.500 0.000

=====

The following is a PBE calculation of an optimized crystal structure of TiGa3W, from Alexandria.

Computed properties:
- excess energy over the best structure of this formula in the dataset (meV/atom) = 0
- space group = Pm-3m

abc: 4.812 4.812 4.812
angles: 90.00 90.00 90.00
Fractional coordinates of all 5 atoms:
Ti1 0.000 0.000 0.000
Ga1 0.000 0.500 0.500
Ga2 0.500 0.000 0.500
Ga3 0.500 0.500 0.000
W1 0.500 0.500 0.500